# 1
This record from Alexandria via LeMat-Bulk describes a relaxed Tm2Al3Au5 crystal. The functional is PBE.

Its formation energy is -646 meV/atom. The crystal system is orthorhombic. As for the magnetization: 0.0 μB/f.u.

The space group is Cmc2_1 (No. 36) and the conventional cell measures 4.442, 24.851 and 6.980 Å, with angles of 90.00, 90.00 and 90.00 degrees. Symmetry generates all atoms from Tm at (0.000, 0.017, 0.000), Tm at (0.000, 0.323, 0.009), Al at (0.000, 0.103, 0.685), Al at (0.000, 0.276, 0.537), Al at (0.000, 0.446, 0.807), Au at (0.000, 0.106, 0.305), Au at (0.000, 0.199, 0.817), Au at (0.000, 0.218, 0.238), Au at (0.000, 0.381, 0.502) and Au at (0.000, 0.454, 0.192).


# 2
This record from Alexandria via LeMat-Bulk describes a relaxed Tm2Al3Au4 crystal. The functional is PBE.

Its formation energy is -690 meV/atom. The crystal system is orthorhombic. As for the magnetization: 0.0 μB/f.u. The offset from the most stable computed form is 0.012 eV per atom.

The space group is Cmce (No. 64) and the conventional cell measures 5.758, 15.660 and 7.662 Å, with angles of 90.00, 90.00 and 90.00 degrees. Symmetry generates all atoms from Tm at (0.000, 0.104, 0.097), Al at (0.000, 0.000, 0.500), Al at (0.250, 0.231, 0.750), Au at (0.000, 0.177, 0.471) and Au at (0.250, 0.060, 0.750).


# 3
This record from Alexandria via LeMat-Bulk describes a relaxed TmAl3Au3 crystal. The functional is PBE.

Its formation energy is -519 meV/atom. The crystal system is monoclinic. As for the magnetization: 0.0 μB/f.u. The offset from the most stable computed form is 0.000 eV per atom.

The space group is P2_1/m (No. 11) and the conventional cell measures 7.363, 4.444 and 8.872 Å, with angles of 90.00, 107.69 and 90.00 degrees. Symmetry generates all atoms from Tm at (0.210, 0.250, 0.282), Al at (0.117, 0.250, 0.908), Al at (0.218, 0.750, 0.745), Al at (0.459, 0.250, 0.715), Au at (0.024, 0.250, 0.607), Au at (0.232, 0.750, 0.048) and Au at (0.394, 0.750, 0.543).


# 4
This record from Alexandria via LeMat-Bulk describes a relaxed Tm4Al2Au crystal. The functional is PBE.

Its formation energy is -372 meV/atom. The crystal system is orthorhombic. As for the magnetization: 0.0 μB/f.u.

The space group is Cmmm (No. 65) and the conventional cell measures 7.049, 10.075 and 5.007 Å, with angles of 90.00, 90.00 and 90.00 degrees. Symmetry generates all atoms from Tm at (0.247, 0.000, 0.000), Tm at (0.250, 0.250, 0.500), Al at (0.000, 0.246, 0.000) and Au at (0.000, 0.500, 0.500).


Q: What is the formula in the second record?
A: Tm2Al3Au4


Q: Number 3 is which compound?
A: TmAl3Au3